Model w:
Here is a relaxed Mn2BTe crystal from the Alexandria database. Energies are from PBE.

a = 4.092 Å, b = 4.092 Å, c = 4.092 Å
α = 60.00°, β = 60.00°, γ = 60.00°
Element x y z (fractional)
1 Mn 0.250 0.250 0.250
2 Mn 0.750 0.750 0.750
3 B 0.000 0.000 0.000
4 Te 0.500 0.500 0.500

Values from the calculation:
space group = Fm-3m



Model x:
Here is a relaxed Mn2BTe crystal from the Alexandria database. Energies are from PBE.

a = 6.603 Å, b = 6.603 Å, c = 6.603 Å
α = 135.06°, β = 135.06°, γ = 65.43°
Element x y z (fractional)
1 Mn 0.013 0.625 0.888
2 Mn 0.375 0.263 0.388
3 Mn 0.737 0.125 0.112
4 Mn 0.875 0.987 0.612
5 B 0.000 0.000 0.000
6 B 0.750 0.250 0.500
7 Te 0.250 0.750 0.500
8 Te 0.500 0.500 0.000

Values from the calculation:
space group = I-42d



Q: Which of them is the least stable? A: model w.



Model w:
Here is a relaxed MnBTe2 crystal from the Alexandria database. Energies are from PBE.

a = 7.294 Å, b = 7.294 Å, c = 7.294 Å
α = 30.63°, β = 30.63°, γ = 30.63°
Element x y z (fractional)
1 Mn 0.000 0.000 0.000
2 B 0.500 0.500 0.500
3 Te 0.399 0.399 0.399
4 Te 0.601 0.601 0.601

Values from the calculation:
space group = R-3m



Model x:
Here is a relaxed MnBTe2 crystal from the Alexandria database. Energies are from PBE.

a = 4.578 Å, b = 4.578 Å, c = 4.578 Å
α = 60.00°, β = 60.00°, γ = 60.00°
Element x y z (fractional)
1 Mn 0.000 0.000 0.000
2 B 0.500 0.500 0.500
3 Te 0.250 0.250 0.250
4 Te 0.750 0.750 0.750

Values from the calculation:
space group = Fm-3m



Model y:
Here is a relaxed MnBTe2 crystal from the Alexandria database. Energies are from PBE.

a = 6.579 Å, b = 6.579 Å, c = 6.579 Å
α = 129.07°, β = 129.07°, γ = 74.90°
Element x y z (fractional)
1 Mn 0.000 0.000 0.000
2 Mn 0.750 0.250 0.500
3 B 0.250 0.750 0.500
4 B 0.500 0.500 0.000
5 Te 0.152 0.625 0.027
6 Te 0.375 0.402 0.527
7 Te 0.598 0.125 0.973
8 Te 0.875 0.848 0.473

Values from the calculation:
space group = I-42d



Q: Which of them is the least stable? A: model x.



Model w:
Here is a relaxed Ti3MnB crystal from the Alexandria database. Energies are from PBE.

a = 4.200 Å, b = 4.200 Å, c = 4.200 Å
α = 90.00°, β = 90.00°, γ = 90.00°
Element x y z (fractional)
1 Ti 0.000 0.000 0.500
2 Ti 0.000 0.500 0.000
3 Ti 0.500 0.000 0.000
4 Mn 0.500 0.500 0.500
5 B 0.000 0.000 0.000

Values from the calculation:
space group = Pm-3m



Model x:
Here is a relaxed Ti3MnB crystal from the Alexandria database. Energies are from PBE.

a = 4.369 Å, b = 4.369 Å, c = 4.369 Å
α = 90.00°, β = 90.00°, γ = 90.00°
Element x y z (fractional)
1 Ti 0.000 0.000 0.500
2 Ti 0.000 0.500 0.000
3 Ti 0.500 0.000 0.000
4 Mn 0.000 0.000 0.000
5 B 0.500 0.500 0.500

Values from the calculation:
space group = Pm-3m



Q: Which of them is the least stable? A: model x.



Model w:
Here is a relaxed TiMn4B2 crystal from the Alexandria database. Energies are from PBE.

a = 6.102 Å, b = 6.102 Å, c = 6.102 Å
α = 139.00°, β = 139.00°, γ = 59.38°
Element x y z (fractional)
1 Ti 0.000 0.000 0.000
2 Mn 0.000 0.500 0.500
3 Mn 0.240 0.240 0.000
4 Mn 0.500 0.000 0.500
5 Mn 0.760 0.760 0.000
6 B 0.425 0.425 0.000
7 B 0.575 0.575 0.000

Values from the calculation:
space group = I4/mmm



Model x:
Here is a relaxed TiMn4B2 crystal from the Alexandria database. Energies are from PBE.

a = 6.678 Å, b = 6.678 Å, c = 3.132 Å
α = 90.00°, β = 90.00°, γ = 149.42°
Element x y z (fractional)
1 Ti 0.000 0.000 0.000
2 Mn 0.171 0.829 0.500
3 Mn 0.322 0.678 0.000
4 Mn 0.678 0.322 0.000
5 Mn 0.829 0.171 0.500
6 B 0.433 0.567 0.500
7 B 0.567 0.433 0.500

Values from the calculation:
space group = Cmmm



Q: Which of them is the least stable? A: model w.



Model w:
Here is a relaxed MnTlB2 crystal from the Alexandria database. Energies are from PBE.

a = 4.138 Å, b = 4.138 Å, c = 4.138 Å
α = 60.00°, β = 60.00°, γ = 60.00°
Element x y z (fractional)
1 Mn 0.000 0.000 0.000
2 Tl 0.500 0.500 0.500
3 B 0.250 0.250 0.250
4 B 0.750 0.750 0.750

Values from the calculation:
space group = Fm-3m



Model x:
Here is a relaxed MnTlB2 crystal from the Alexandria database. Energies are from PBE.

a = 7.553 Å, b = 7.553 Å, c = 7.553 Å
α = 150.40°, β = 150.40°, γ = 42.35°
Element x y z (fractional)
1 Mn 0.375 0.625 0.750
2 Mn 0.625 0.375 0.250
3 Tl 0.125 0.875 0.250
4 Tl 0.875 0.125 0.750
5 B 0.000 0.500 0.500
6 B 0.500 0.000 0.000
7 B 0.500 0.500 0.000
8 B 0.500 0.500 0.500

Values from the calculation:
space group = I4_1/amd



Q: Which of them is the least stable? A: model w.



Model w:
Here is a relaxed TmMnB4 crystal from the Alexandria database. Energies are from PBE.

a = 5.871 Å, b = 11.348 Å, c = 3.367 Å
α = 90.00°, β = 90.00°, γ = 90.00°
Element x y z (fractional)
1 Tm 0.126 0.150 0.000
2 Tm 0.374 0.650 0.000
3 Tm 0.626 0.350 0.000
4 Tm 0.874 0.850 0.000
5 Mn 0.128 0.416 0.000
6 Mn 0.372 0.916 0.000
7 Mn 0.628 0.084 0.000
8 Mn 0.872 0.584 0.000
9 B 0.025 0.692 0.500
10 B 0.113 0.547 0.500
11 B 0.137 0.968 0.500
12 B 0.218 0.816 0.500
13 B 0.282 0.316 0.500
14 B 0.363 0.468 0.500
15 B 0.387 0.047 0.500
16 B 0.475 0.192 0.500
17 B 0.525 0.808 0.500
18 B 0.613 0.953 0.500
19 B 0.637 0.532 0.500
20 B 0.718 0.684 0.500
21 B 0.782 0.184 0.500
22 B 0.863 0.032 0.500
23 B 0.887 0.453 0.500
24 B 0.975 0.308 0.500

Values from the calculation:
space group = Pbam



Model x:
Here is a relaxed TmMnB4 crystal from the Alexandria database. Energies are from PBE.

a = 3.111 Å, b = 3.111 Å, c = 6.697 Å
α = 90.00°, β = 90.00°, γ = 120.00°
Element x y z (fractional)
1 Tm 0.000 0.000 0.000
2 Mn 0.000 0.000 0.500
3 B 0.333 0.667 0.286
4 B 0.333 0.667 0.714
5 B 0.667 0.333 0.286
6 B 0.667 0.333 0.714

Values from the calculation:
space group = P6/mmm



Model y:
Here is a relaxed TmMnB4 crystal from the Alexandria database. Energies are from PBE.

a = 4.328 Å, b = 4.328 Å, c = 4.328 Å
α = 60.00°, β = 60.00°, γ = 60.00°
Element x y z (fractional)
1 Tm 0.000 0.000 0.000
2 Mn 0.250 0.250 0.250
3 B 0.068 0.644 0.644
4 B 0.644 0.068 0.644
5 B 0.644 0.644 0.068
6 B 0.644 0.644 0.644

Values from the calculation:
space group = F-43m



Q: Which of them is the least stable? A: model y.



Model w:
Here is a relaxed Mn2VB2 crystal from the Alexandria database. Energies are from PBE.

a = 3.872 Å, b = 2.792 Å, c = 8.656 Å
α = 90.00°, β = 96.22°, γ = 90.00°
Element x y z (fractional)
1 Mn 0.149 0.250 0.105
2 Mn 0.255 0.750 0.515
3 Mn 0.745 0.250 0.485
4 Mn 0.851 0.750 0.895
5 V 0.312 0.250 0.759
6 V 0.688 0.750 0.241
7 B 0.207 0.250 0.336
8 B 0.372 0.750 0.975
9 B 0.628 0.250 0.025
10 B 0.793 0.750 0.664

Values from the calculation:
space group = P2_1/m



Model x:
Here is a relaxed Mn2VB2 crystal from the Alexandria database. Energies are from PBE.

a = 5.701 Å, b = 5.701 Å, c = 2.742 Å
α = 90.00°, β = 90.00°, γ = 90.00°
Element x y z (fractional)
1 Mn 0.173 0.327 0.000
2 Mn 0.327 0.827 0.000
3 Mn 0.673 0.173 0.000
4 Mn 0.827 0.673 0.000
5 V 0.000 0.000 0.500
6 V 0.500 0.500 0.500
7 B 0.115 0.615 0.500
8 B 0.385 0.115 0.500
9 B 0.615 0.885 0.500
10 B 0.885 0.385 0.500

Values from the calculation:
space group = P4/mbm



Q: Which of them is the least stable? A: model w.



Model w:
Here is a relaxed MnV3B crystal from the Alexandria database. Energies are from PBE.

a = 4.028 Å, b = 4.028 Å, c = 4.028 Å
α = 90.00°, β = 90.00°, γ = 90.00°
Element x y z (fractional)
1 Mn 0.000 0.000 0.000
2 V 0.000 0.500 0.500
3 V 0.500 0.000 0.500
4 V 0.500 0.500 0.000
5 B 0.500 0.500 0.500

Values from the calculation:
space group = Pm-3m



Model x:
Here is a relaxed MnV3B crystal from the Alexandria database. Energies are from PBE.

a = 4.196 Å, b = 4.196 Å, c = 4.196 Å
α = 90.00°, β = 90.00°, γ = 90.00°
Element x y z (fractional)
1 Mn 0.000 0.000 0.000
2 V 0.000 0.000 0.500
3 V 0.000 0.500 0.000
4 V 0.500 0.000 0.000
5 B 0.500 0.500 0.500

Values from the calculation:
space group = Pm-3m



Q: Which of them is the least stable? A: model x.



Model w:
Here is a relaxed MnB3W crystal from the Alexandria database. Energies are from PBE.

a = 3.686 Å, b = 3.686 Å, c = 3.686 Å
α = 90.00°, β = 90.00°, γ = 90.00°
Element x y z (fractional)
1 Mn 0.000 0.000 0.000
2 B 0.000 0.000 0.500
3 B 0.000 0.500 0.000
4 B 0.500 0.000 0.000
5 W 0.500 0.500 0.500

Values from the calculation:
space group = Pm-3m



Model x:
Here is a relaxed MnB3W crystal from the Alexandria database. Energies are from PBE.

a = 4.054 Å, b = 4.054 Å, c = 4.054 Å
α = 90.00°, β = 90.00°, γ = 90.00°
Element x y z (fractional)
1 Mn 0.000 0.000 0.000
2 B 0.000 0.500 0.500
3 B 0.500 0.000 0.500
4 B 0.500 0.500 0.000
5 W 0.500 0.500 0.500

Values from the calculation:
space group = Pm-3m



Model y:
Here is a relaxed MnB3W crystal from the Alexandria database. Energies are from PBE.

a = 9.225 Å, b = 9.225 Å, c = 3.038 Å
α = 90.00°, β = 90.00°, γ = 160.44°
Element x y z (fractional)
1 Mn 0.204 0.796 0.750
2 Mn 0.796 0.204 0.250
3 B 0.320 0.680 0.750
4 B 0.374 0.626 0.250
5 B 0.475 0.525 0.250
6 B 0.525 0.475 0.750
7 B 0.626 0.374 0.750
8 B 0.680 0.320 0.250
9 W 0.075 0.925 0.250
10 W 0.925 0.075 0.750

Values from the calculation:
space group = Cmcm



Q: Which of them is the least stable? A: model x.



Model w:
Here is a relaxed ZrMnB2 crystal from the Alexandria database. Energies are from PBE.

a = 7.240 Å, b = 7.240 Å, c = 7.240 Å
α = 149.06°, β = 149.06°, γ = 44.32°
Element x y z (fractional)
1 Zr 0.375 0.625 0.750
2 Zr 0.625 0.375 0.250
3 Mn 0.125 0.875 0.250
4 Mn 0.875 0.125 0.750
5 B 0.000 0.000 0.000
6 B 0.000 0.000 0.500
7 B 0.000 0.500 0.000
8 B 0.500 0.000 0.500

Values from the calculation:
space group = I4_1/amd



Model x:
Here is a relaxed ZrMnB2 crystal from the Alexandria database. Energies are from PBE.

a = 3.938 Å, b = 3.938 Å, c = 3.938 Å
α = 60.00°, β = 60.00°, γ = 60.00°
Element x y z (fractional)
1 Zr 0.000 0.000 0.000
2 Mn 0.500 0.500 0.500
3 B 0.250 0.250 0.250
4 B 0.750 0.750 0.750

Values from the calculation:
space group = Fm-3m



Q: Which of them is the least stable? A: model x.



Model w:
Here is a relaxed B2Mo3 crystal from the Alexandria database. Energies are from PBE.

a = 6.047 Å, b = 6.047 Å, c = 3.159 Å
α = 90.00°, β = 90.00°, γ = 90.00°
Element x y z (fractional)
1 B 0.113 0.387 0.000
2 B 0.387 0.887 0.000
3 B 0.613 0.113 0.000
4 B 0.887 0.613 0.000
5 Mo 0.000 0.000 0.000
6 Mo 0.173 0.673 0.500
7 Mo 0.327 0.173 0.500
8 Mo 0.500 0.500 0.000
9 Mo 0.673 0.827 0.500
10 Mo 0.827 0.327 0.500

Values from the calculation:
space group = P4/mbm



Model x:
Here is a relaxed B2Mo3 crystal from the Alexandria database. Energies are from PBE.

a = 4.801 Å, b = 4.801 Å, c = 4.801 Å
α = 142.02°, β = 117.91°, γ = 75.15°
Element x y z (fractional)
1 B 0.176 0.000 0.176
2 B 0.824 0.000 0.824
3 Mo 0.199 0.699 0.500
4 Mo 0.500 0.500 0.000
5 Mo 0.801 0.301 0.500

Values from the calculation:
space group = Immm



Q: Which of them is the least stable? A: model x.